1.
A plane-wave DFT calculation with GGA-PBE was carried out for a relaxed ErTlAgSe3 crystal.

Results
Calculated total energy = -0.311 Ry/atom
Calculated volume = 26.3 Å³/atom
Space group = Cmcm

Geometry as extended XYZ:
```
12
Lattice="-5.027 1.015 -5.384 3.553 -4.690 4.546 -7.757 1.401 7.507" Properties=species:S:1:pos:R:3 pbc="T T T"
Tl -4.452 -2.185 7.645
Se -8.073 1.000 0.043
Tl -4.779 -0.089 -0.975
Se -1.158 -3.274 6.627
Se 2.053 -3.854 3.520
Se -7.195 -0.361 4.470
Se -2.035 -1.913 2.200
Se -11.283 1.580 3.150
Er -4.615 -1.137 3.335
Ag 1.239 -4.090 5.989
Ag -10.470 1.816 0.681
Er -0.737 -1.837 -0.419
```

***

2.
A plane-wave DFT calculation with GGA-PBE was carried out for a relaxed ErSiAg crystal.

Results
Calculated total energy = -0.338 Ry/atom
Calculated volume = 19.8 Å³/atom
Space group = P-62m

Geometry as extended XYZ:
```
9
Lattice="-5.861 -2.634 -2.934 5.950 -3.807 0.036 -1.076 -1.647 3.626" Properties=species:S:1:pos:R:3 pbc="T T T"
Ag 2.013 -3.416 -0.954
Si 1.550 -0.992 0.009
Er -0.502 -3.430 0.640
Ag -0.538 -0.823 1.813
Ag -1.924 -3.025 -1.944
Er 3.004 -3.090 1.834
Er -4.027 -2.391 0.066
Si -1.527 -0.686 -0.764
Si 0.066 -4.763 -2.143
```